Entry 1:
Below is GdNpPd4 after structural relaxation, with properties calculated at the GGA-PBE level.

a b c (Å): 5.4531 5.4531 5.4531
angles (deg): 60.00 60.00 60.00
With the nearest neighbours (Å) after each atom.
Positions (direct):
Gd 0.2500 0.2500 0.2500  12 Pd 3.20, 4 Np 3.34
Pd 0.6252 0.1245 0.6252  6 Pd 2.72-2.73
Pd 0.6252 0.6252 0.6252  6 Pd 2.72-2.73
Pd 0.1245 0.6252 0.6252  6 Pd 2.72-2.73
Pd 0.6252 0.6252 0.1245  6 Pd 2.72-2.73
Np 0.0000 0.0000 0.0000  12 Pd 3.20, 4 Gd 3.34

Calculated values
Mass density ... 11.874 g cm⁻³
Energy relative to the elements ... -0.52 eV per atom
DOS at the Fermi energy ... 14.9 states/eV/cell
Raw total energy ... -50.91 eV for the cell shown

=====

Entry 2:
Below is Cu2H3ClO3 after structural relaxation, with properties calculated at the GGA-PBE level.

a b c (Å): 6.0074 6.9141 9.3840
angles (deg): 90.00 90.00 90.00
With the nearest neighbours (Å) after each atom.
Positions (direct):
O 0.1495 0.2500 0.0031  1 H 0.99
O 0.0769 0.5654 0.7984  1 H 1.00
O 0.4231 0.0654 0.2984  1 H 1.00
O 0.9231 0.4346 0.2016  1 H 1.00
O 0.9231 0.0654 0.2016  1 H 1.00
O 0.8505 0.7500 0.9969  1 H 0.99
O 0.3505 0.7500 0.5031  1 H 0.99
O 0.5769 0.9346 0.7016  1 H 1.00
O 0.0769 0.9346 0.7984  1 H 1.00
O 0.4231 0.4346 0.2984  1 H 1.00
O 0.5769 0.5654 0.7016  1 H 1.00
O 0.6495 0.2500 0.4969  1 H 0.99
H 0.2020 0.7500 0.4567  1 O 0.99
H 0.9111 0.5500 0.2654  1 O 1.00
H 0.9111 0.9500 0.2654  1 O 1.00
H 0.0889 0.0500 0.7346  1 O 1.00
H 0.0889 0.4500 0.7346  1 O 1.00
H 0.4111 0.5500 0.2346  1 O 1.00
H 0.7020 0.7500 0.0433  1 O 0.99
H 0.2980 0.2500 0.9567  1 O 0.99
H 0.7980 0.2500 0.5433  1 O 0.99
H 0.4111 0.9500 0.2346  1 O 1.00
H 0.5889 0.0500 0.7654  1 O 1.00
H 0.5889 0.4500 0.7654  1 O 1.00
Cl 0.1334 0.2500 0.5779  3 H 2.04
Cl 0.3666 0.7500 0.0779  3 H 2.04
Cl 0.6334 0.2500 0.9221  3 H 2.04
Cl 0.8666 0.7500 0.4221  3 H 2.04
Cu 0.0000 0.0000 0.0000  4 O 1.95-2.00
Cu 0.1752 0.2500 0.2545  4 O 2.00-2.04
Cu 0.3248 0.7500 0.7545  4 O 2.00-2.04
Cu 0.5000 0.0000 0.5000  4 O 1.95-2.00
Cu 0.5000 0.5000 0.5000  4 O 1.95-2.00
Cu 0.8248 0.7500 0.7455  4 O 2.00-2.04
Cu 0.0000 0.5000 0.0000  4 O 1.95-2.00
Cu 0.6752 0.2500 0.2455  4 O 2.00-2.04

Calculated values
Mass density ... 3.639 g cm⁻³
DOS at the Fermi energy ... 3.2 states/eV/cell
ΔE to the lowest computed polymorph ... 0.001 eV per atom
Raw total energy ... -167.85 eV for the cell shown

=====

Entry 3:
Below is NbCdF6 after structural relaxation, with properties calculated at the GGA-PBE level.

a b c (Å): 5.0866 5.0866 5.5024
angles (deg): 96.40 96.40 113.99
With the nearest neighbours (Å) after each atom.
Positions (direct):
F 0.5703 0.8699 0.7365  1 Nb 2.04, 1 Cd 2.28
F 0.1301 0.4297 0.2635  1 Nb 2.04, 1 Cd 2.28
F 0.4297 0.1301 0.2635  1 Nb 2.04, 1 Cd 2.28
F 0.7385 0.7385 0.2822  1 Nb 1.96
F 0.2615 0.2615 0.7178  1 Nb 1.96
F 0.8699 0.5703 0.7365  1 Nb 2.04, 1 Cd 2.28
Nb 0.5000 0.5000 0.5000  6 F 1.96-2.04
Cd 0.0000 0.0000 0.0000  6 F 2.28-2.33

Calculated values
Mass density ... 4.165 g cm⁻³
DOS at the Fermi energy ... 0.2 states/eV/cell
Formation energy from raw total energies ... -2.613 eV per atom
Raw total energy ... -43.12 eV for the cell shown

=====

Entry 4:
Below is Ca2LaP after structural relaxation, with properties calculated at the GGA-PBE level.

a b c (Å): 4.6523 4.6523 5.1071
angles (deg): 90.00 90.00 90.00
With the nearest neighbours (Å) after each atom.
Positions (direct):
Ca 0.5000 0.5000 0.0000  4 Ca 3.29, 4 La 3.45, 4 P 3.45
Ca 0.0000 0.0000 0.0000  4 Ca 3.29, 4 P 3.45, 4 La 3.45
P 0.0000 0.5000 0.5000  4 La 3.29, 8 Ca 3.45
La 0.5000 0.0000 0.5000  4 P 3.29, 8 Ca 3.45

Calculated values
Mass density ... 3.756 g cm⁻³
Energy relative to the elements ... -0.31 eV per atom
DOS at the Fermi energy ... 4.4 states/eV/cell
Raw total energy ... -15.58 eV for the cell shown

=====

Entry 5:
Below is Ba2CaAl after structural relaxation, with properties calculated at the GGA-PBE level.

a b c (Å): 7.6985 7.6985 5.8877
angles (deg): 67.51 67.51 31.44
With the nearest neighbours (Å) after each atom.
Positions (direct):
Al 0.2500 0.2500 0.2500  4 Ba 3.41, 4 Ca 3.61
Ba 0.5516 0.5516 0.4484  2 Al 3.41
Ba 0.9484 0.9484 0.0516  2 Al 3.41
Ca 0.7500 0.7500 0.7500  4 Al 3.61, 4 Ba 3.99

Calculated values
Mass density ... 3.397 g cm⁻³
Energy relative to the elements ... 0.08 eV per atom
DOS at the Fermi energy ... 5.6 states/eV/cell
Raw total energy ... -9.26 eV for the cell shown

=====

Entry 6:
Below is Li2Cu2Pd after structural relaxation, with properties calculated at the GGA-PBE level.

a b c (Å): 6.6583 6.6583 2.8671
angles (deg): 90.00 90.00 90.00
With the nearest neighbours (Å) after each atom.
Positions (direct):
Li 0.3663 0.8663 0.0000  6 Cu 2.35-2.48, 1 Li 2.52, 2 Pd 2.60
Li 0.1337 0.3663 0.0000  6 Cu 2.35-2.48, 1 Li 2.52, 2 Pd 2.60
Li 0.8663 0.6337 0.0000  6 Cu 2.35-2.48, 1 Li 2.52, 2 Pd 2.60
Li 0.6337 0.1337 0.0000  6 Cu 2.35-2.48, 1 Li 2.52, 2 Pd 2.60
Cu 0.3320 0.1680 0.5000  6 Li 2.35-2.48
Cu 0.8320 0.3320 0.5000  6 Li 2.35-2.48
Cu 0.6680 0.8320 0.5000  6 Li 2.35-2.48
Cu 0.1680 0.6680 0.5000  6 Li 2.35-2.48
Pd 0.5000 0.5000 0.0000  4 Li 2.60, 8 Cu 2.86, 2 Pd 2.87
Pd 0.0000 0.0000 0.0000  4 Li 2.60, 8 Cu 2.86, 2 Pd 2.87

Calculated values
Mass density ... 6.464 g cm⁻³
Energy relative to the elements ... -0.05 eV per atom
DOS at the Fermi energy ... 3.0 states/eV/cell
ΔE to the lowest computed polymorph ... 0.150 eV per atom
Raw total energy ... -34.94 eV for the cell shown

=====

Entry 7:
Below is BeAgOs2 after structural relaxation, with properties calculated at the GGA-PBE level.

a b c (Å): 4.8049 4.8049 2.7633
angles (deg): 90.00 90.00 116.56
With the nearest neighbours (Å) after each atom.
Positions (direct):
Ag 0.5000 0.0000 0.5000  2 Be 2.53, 2 Ag 2.76, 8 Os 2.77
Be 0.0000 0.5000 0.5000  2 Ag 2.53, 2 Be 2.76, 8 Os 2.77
Os 0.5000 0.5000 0.0000  4 Os 2.53-2.76, 4 Ag 2.77, 4 Be 2.77
Os 0.0000 0.0000 0.0000  4 Os 2.53-2.76, 4 Be 2.77, 4 Ag 2.77

Calculated values
Mass density ... 14.472 g cm⁻³
Energy relative to the elements ... 0.74 eV per atom
DOS at the Fermi energy ... 3.8 states/eV/cell
Raw total energy ... -26.06 eV for the cell shown

=====

Entry 8:
Below is Pr3Nd6Mg after structural relaxation, with properties calculated at the GGA-PBE level.

a b c (Å): 9.5409 10.2555 10.2555
angles (deg): 135.76 90.00 90.00
With the nearest neighbours (Å) after each atom.
Positions (direct):
Pr 0.9513 0.1260 0.3769  6 Nd 3.62-4.01, 4 Pr 3.84-4.04, 1 Mg 3.87
Pr 0.4513 0.3769 0.1260  6 Nd 3.62-4.01, 4 Pr 3.84-4.04, 1 Mg 3.87
Pr 0.4513 0.8740 0.6231  6 Nd 3.62-4.01, 4 Pr 3.84-4.04, 1 Mg 3.87
Pr 0.9513 0.6231 0.8740  6 Nd 3.62-4.01, 4 Pr 3.84-4.04, 1 Mg 3.87
Pr 0.7851 0.5421 0.4579  8 Nd 3.45-3.86
Pr 0.2851 0.4579 0.5421  8 Nd 3.45-3.86
Nd 0.2773 0.9561 0.0439  6 Nd 3.34-3.50
Nd 0.5842 0.6950 0.8263  5 Nd 3.34-3.70, 1 Mg 3.39, 3 Pr 3.45-3.68
Nd 0.7773 0.0439 0.9561  6 Nd 3.34-3.50
Nd 0.1131 0.7091 0.2909  6 Nd 3.28-3.43
Nd 0.0842 0.3050 0.1737  5 Nd 3.34-3.70, 1 Mg 3.39, 3 Pr 3.45-3.68
Nd 0.6131 0.2909 0.7091  6 Nd 3.28-3.43
Nd 0.8179 0.9481 0.5554  4 Nd 3.28-3.55, 2 Mg 3.29-3.35, 2 Pr 3.53-3.62
Nd 0.3179 0.0519 0.4446  4 Nd 3.28-3.55, 2 Mg 3.29-3.35, 2 Pr 3.53-3.62
Nd 0.3179 0.5554 0.9481  4 Nd 3.28-3.55, 2 Mg 3.29-3.35, 2 Pr 3.53-3.62
Nd 0.8179 0.4446 0.0519  4 Nd 3.28-3.55, 2 Mg 3.29-3.35, 2 Pr 3.53-3.62
Nd 0.5842 0.1737 0.3050  5 Nd 3.34-3.70, 1 Mg 3.39, 3 Pr 3.45-3.68
Nd 0.0842 0.8263 0.6950  5 Nd 3.34-3.70, 1 Mg 3.39, 3 Pr 3.45-3.68
Mg 0.1030 0.2147 0.7853  6 Nd 3.29-3.39
Mg 0.6030 0.7853 0.2147  6 Nd 3.29-3.39

Calculated values
Mass density ... 6.226 g cm⁻³
Energy relative to the elements ... 0.09 eV per atom
DOS at the Fermi energy ... 26.2 states/eV/cell
ΔE to the lowest computed polymorph ... 0.000 eV per atom
Raw total energy ... -87.20 eV for the cell shown

=====

Entry 9:
Below is ZnSiAsBr2 after structural relaxation, with properties calculated at the GGA-PBE level.

a b c (Å): 5.0395 5.0395 5.0803
angles (deg): 90.00 90.00 90.00
With the nearest neighbours (Å) after each atom.
Positions (direct):
Br 0.5000 0.0000 0.0000  2 Si 2.52
Br 0.0000 0.5000 0.0000  2 Si 2.52
As 0.0000 0.0000 0.5000  2 Si 2.54
Si 0.0000 0.0000 0.0000  4 Br 2.52, 2 As 2.54
Zn 0.5000 0.5000 0.5000  4 As 3.56, 8 Br 3.58

Calculated values
Mass density ... 4.224 g cm⁻³
DOS at the Fermi energy ... 3.5 states/eV/cell
ΔE to the lowest computed polymorph ... 0.000 eV per atom
Formation energy from raw total energies ... 0.316 eV per atom
Raw total energy ... -13.11 eV for the cell shown

=====

Entry 10:
Below is LaNdSmHo2 after structural relaxation, with properties calculated at the GGA-PBE level.

a b c (Å): 7.2348 8.5018 7.2089
angles (deg): 126.13 90.00 90.00
With the nearest neighbours (Å) after each atom.
Positions (direct):
La 0.7500 0.7343 0.4686  1 Nd 3.10
La 0.2500 0.2657 0.5314  1 Nd 3.10
Nd 0.7500 0.0004 0.0009  1 La 3.10, 4 Ho 3.22, 1 Sm 3.25
Nd 0.2500 0.9996 0.9991  1 La 3.10, 4 Ho 3.22, 1 Sm 3.25
Ho 0.5000 0.3128 0.0000  1 Ho 3.18, 2 Nd 3.22, 2 Sm 3.52
Ho 0.5000 0.6872 0.0000  1 Ho 3.18, 2 Nd 3.22, 2 Sm 3.52
Ho 0.0000 0.3128 0.0000  1 Ho 3.18, 2 Nd 3.22, 2 Sm 3.52
Ho 0.0000 0.6872 0.0000  1 Ho 3.18, 2 Nd 3.22, 2 Sm 3.52
Sm 0.2500 0.7207 0.4414  1 Nd 3.25, 4 Ho 3.52, 2 La 3.62
Sm 0.7500 0.2793 0.5586  1 Nd 3.25, 4 Ho 3.52, 2 La 3.62

Calculated values
Mass density ... 7.079 g cm⁻³
Energy relative to the elements ... 0.34 eV per atom
DOS at the Fermi energy ... 15.7 states/eV/cell
Raw total energy ... -43.72 eV for the cell shown

=====

Entry 11:
Below is TaS2BrN after structural relaxation, with properties calculated at the GGA-PBE level.

a b c (Å): 4.8158 4.8158 3.6705
angles (deg): 90.00 90.00 90.00
With the nearest neighbours (Å) after each atom.
Positions (direct):
S 0.0000 0.5000 0.0000  2 Br 2.41
S 0.5000 0.0000 0.0000  2 Br 2.41
Ta 0.5000 0.5000 0.5000  8 S 3.03
N 0.0000 0.0000 0.5000  2 Br 1.84
Br 0.0000 0.0000 0.0000  2 N 1.84

Calculated values
Mass density ... 6.613 g cm⁻³
DOS at the Fermi energy ... 3.4 states/eV/cell
ΔE to the lowest computed polymorph ... 1.554 eV per atom
Formation energy from raw total energies ... 1.736 eV per atom
Raw total energy ... -21.43 eV for the cell shown

=====

Entry 12:
Below is TaTe2Pt after structural relaxation, with properties calculated at the GGA-PBE level.

a b c (Å): 5.7155 5.7155 5.7155
angles (deg): 137.96 137.96 60.96
With the nearest neighbours (Å) after each atom.
Positions (direct):
Te 0.2500 0.7500 0.5000  4 Ta 2.90, 4 Te 3.20, 4 Pt 3.20
Te 0.0000 0.0000 0.0000  4 Pt 2.90, 4 Te 3.20, 4 Ta 3.20
Ta 0.7500 0.2500 0.5000  8 Te 2.90-3.20, 4 Pt 3.20
Pt 0.5000 0.5000 0.0000  8 Te 2.90-3.20, 4 Ta 3.20

Calculated values
Mass density ... 12.660 g cm⁻³
DOS at the Fermi energy ... 3.8 states/eV/cell
Formation energy from raw total energies ... 0.343 eV per atom
Raw total energy ... -22.80 eV for the cell shown

=====

The lowest DOS at the Fermi energy belongs to which entry? NbCdF6

=====

Look up the DOS at the Fermi energy of the fourth one. 4.4 states/eV/cell

=====

Which value of mass density does entry 12 give? 12.660 g cm⁻³